# 1
# NbSn2BiN (PBE-GGA, relaxed)
# N(E_F) ... 0.798 states/eV per atom
# Raw formation energy ... 736.8 meV per atom
# Total moment ... 0.0 μB/f.u.
data_NbSn2BiN
_symmetry_space_group_name_H-M 'P 4/m m m'
_symmetry_Int_Tables_number 123
_symmetry_space_group_name_Hall '-P 4 2'
_cell_length_a 4.628
_cell_length_b 4.628
_cell_length_c 4.876
_cell_angle_alpha 90.00
_cell_angle_beta 90.00
_cell_angle_gamma 90.00
loop_
_atom_site_label
_atom_site_type_symbol
_atom_site_fract_x
_atom_site_fract_y
_atom_site_fract_z
Nb1 Nb 0.000 0.000 0.000
Sn1 Sn 0.000 0.500 0.500
Bi1 Bi 0.500 0.500 0.000
N1 N 0.500 0.500 0.500

# 2
# NbBiTe2N (PBE-GGA, relaxed)
# N(E_F) ... 0.627 states/eV per atom
# Polymorph energy (0 for the lowest one) ... 0.0000 eV per atom
# Raw formation energy ... 63.7 meV per atom
# Total moment ... 0.0 μB/f.u.
data_NbBiTe2N
_symmetry_space_group_name_H-M 'P 4/m m m'
_symmetry_Int_Tables_number 123
_symmetry_space_group_name_Hall '-P 4 2'
_cell_length_a 5.651
_cell_length_b 5.651
_cell_length_c 3.939
_cell_angle_alpha 90.00
_cell_angle_beta 90.00
_cell_angle_gamma 90.00
loop_
_atom_site_label
_atom_site_type_symbol
_atom_site_fract_x
_atom_site_fract_y
_atom_site_fract_z
Nb1 Nb 0.000 0.000 0.000
Bi1 Bi 0.500 0.500 0.500
Te1 Te 0.000 0.500 0.000
N1 N 0.000 0.000 0.500

# 3
# NbBiTe2N (PBE-GGA, relaxed)
# N(E_F) ... 1.252 states/eV per atom
# Polymorph energy (0 for the lowest one) ... 1.3375 eV per atom
# Raw formation energy ... 1401.2 meV per atom
# Total moment ... 3.3 μB/f.u.
data_NbBiTe2N
_symmetry_space_group_name_H-M 'P 4/m m m'
_symmetry_Int_Tables_number 123
_symmetry_space_group_name_Hall '-P 4 2'
_cell_length_a 5.881
_cell_length_b 5.881
_cell_length_c 4.176
_cell_angle_alpha 90.00
_cell_angle_beta 90.00
_cell_angle_gamma 90.00
loop_
_atom_site_label
_atom_site_type_symbol
_atom_site_fract_x
_atom_site_fract_y
_atom_site_fract_z
Nb1 Nb 0.000 0.000 0.000
Bi1 Bi 0.500 0.500 0.500
Te1 Te 0.000 0.500 0.500
N1 N 0.500 0.500 0.000